Ag2HgS2: single point on PBEsol structure, SCAN.

It has space group P2_1/c (No. 14), with a = 4.0750 Å, b = 7.8849 Å, c = 6.4148 Å, α = 90.00°, β = 108.67° and γ = 90.00°. The distinct sites, in fractional coordinates, are Ag at (0.1146, 0.1519, 0.4078), Hg at (0.5000, 0.0000, 0.0000) and S at (0.2991, 0.6280, 0.7770).

Its crystal system is monoclinic. For the uncorrected formation energy, the calculation gives -0.11 eV/atom.